No. 1
{"formula": "Tb2CoC", "functional": "GGA-PBE", "state": "optimized geometry", "lattice_angstrom": [[-2.7430, -2.2211, -0.8554], [2.6974, -0.8007, -6.5705], [4.1639, -3.7550, 4.1068]], "species": ["Tb", "Tb", "Tb", "Tb", "Co", "Co", "C", "C"], "fractional_positions": [[0.1301, 0.5645, 0.2582], [0.8699, 0.4355, 0.7418], [0.1281, 0.0645, 0.2582], [0.8719, 0.9355, 0.7418], [0.5001, 0.2500, 0.0000], [0.4999, 0.7500, 0.0000], [0.9999, 0.7500, 0.0000], [0.0001, 0.2500, 0.0000]], "de_polymorph_ev_per_fu": 0.00, "space_group": "No. 71"}


No. 2
{"formula": "Tb2CoC", "functional": "GGA-PBE", "state": "optimized geometry", "lattice_angstrom": [[-0.9061, 0.9762, 3.2517], [2.2157, -0.5303, 2.6753], [3.6196, 7.2173, 0.7405]], "species": ["Co", "C", "Tb", "Tb"], "fractional_positions": [[0.0000, 0.0000, 0.0000], [0.5000, 0.5000, 0.5000], [0.1085, 0.1085, 0.6746], [0.8915, 0.8915, 0.3254]], "de_polymorph_ev_per_fu": 2.48, "space_group": "No. 166"}


No. 3
{"formula": "Tb2ZnCoC", "functional": "GGA-PBE", "state": "optimized geometry", "lattice_angstrom": [[-0.8881, 1.9654, 2.9184], [-3.2609, -3.5542, 1.4013], [3.6173, -2.2795, 2.6359]], "species": ["Tb", "Tb", "Zn", "Co", "C"], "fractional_positions": [[0.0000, 0.0000, 0.5000], [0.0000, 0.5000, 0.0000], [0.5000, 0.5000, 0.5000], [0.5000, 0.0000, 0.0000], [0.0000, 0.0000, 0.0000]], "space_group": "No. 123"}


No. 4
{"formula": "TbZn2Co2C", "functional": "GGA-PBE", "state": "optimized geometry", "lattice_angstrom": [[-1.3831, 3.4992, -0.8379], [-1.2231, 0.3870, 3.6351], [6.8091, 0.6117, 0.1820]], "species": ["Tb", "Zn", "Zn", "Co", "Co", "C"], "fractional_positions": [[0.5000, 0.5000, 0.0000], [0.2500, 0.7500, 0.5000], [0.7500, 0.2500, 0.5000], [0.8646, 0.8646, 0.7293], [0.1354, 0.1354, 0.2707], [0.0000, 0.0000, 0.0000]], "space_group": "No. 139"}


Energy of formation from the pure elements, respectively: -257, 363, -350, 4 meV per atom.